Compound: CaVH2O4
Source: Alexandria via LeMat-Bulk
Functional: PBE+U
Structure: relaxed

Spin magnetization   1.000 μB per formula unit
Density of states at the Fermi level   0.0 states/eV/cell
Raw total energy   -100.31 eV per cell

a = 4.492 Å, b = 5.711 Å, c = 6.267 Å
α = 90.00°, β = 90.00°, γ = 90.00°
Space group I222 (No. 23)
Asymmetric unit:
Ca 0.000 0.000 0.000 x2
V 0.000 0.000 0.500 x2
H 0.000 0.500 0.181 x4
O 0.223 0.372 0.818 x8